# 1
This record from Alexandria describes a relaxed structure of PuPa2C. The functional is GGA-PBE.

extended XYZ file:
```
4
Lattice="3.3240 0.0000 0.0000 1.6620 2.8786 0.0000 1.6620 0.9595 8.8013" Properties=species:S:1:pos:R:3 pbc="T T T"
C 3.3240 1.9191 4.4007
Pa 1.6620 0.9596 5.8903
Pa 4.9860 2.8786 2.9110
Pu 0.0000 0.0000 0.0000
```

Properties
The formation energy comes out at 0.0007 eV/atom. As for the density of states at the Fermi level: 2.079 states/eV/atom.



# 2
This record from Alexandria describes a relaxed structure of KRbCe2Cl8. The functional is GGA-PBE.

extended XYZ file:
```
12
Lattice="7.3010 0.0822 -0.0053 0.1855 6.8938 -0.0088 0.0060 0.0102 8.8324" Properties=species:S:1:pos:R:3 pbc="T T T"
K 0.0000 0.0000 0.0000
Rb 0.0030 0.0051 4.4162
Ce 3.7478 3.4957 6.6352
Ce 3.7447 3.4905 2.1832
Cl 1.5942 5.1157 2.1252
Cl 4.8381 4.9402 8.8228
Cl 5.8952 1.8652 2.1262
Cl 5.8984 1.8705 6.6932
Cl 2.6544 2.0460 -0.0044
Cl 1.5974 5.1210 6.6922
Cl 4.7949 4.9193 4.4066
Cl 2.6976 2.0669 4.4118
```

Properties
Its uncorrected formation energy is -2.1228 eV per atom. As for the density of states at the Fermi level: 1.322 states/eV/atom.



Number 1: total moment 5.45 μB per cell. Number 2: total moment 2.00 μB per cell.